A geometry-optimized TaHgPb2 structure. Source: Alexandria via LeMat-Bulk, functional PBE-GGA.

Output
- calculated density (g/cm³) = 12.93
- space group = Pmm2, No. 25
- calculated total energy (eV per atom) = -4.411
- total magnetization (μB/cell) = 0.000

Cell and atoms, written as POSCAR:
```
TaHgPb2
1.0
3.1573 0.0000 0.0000
0.0000 4.2150 0.0000
0.0000 0.0000 7.6807
Ta Hg Pb
1 1 2
Direct
0.0000 0.0000 0.0000
0.5000 0.5000 0.1793
0.0000 0.0000 0.4207
0.5000 0.5000 0.7690
```


A geometry-optimized TaHgPb2 structure. Source: Alexandria via LeMat-Bulk, functional PBE-GGA.

Output
- calculated density (g/cm³) = 13.57
- space group = Pmmm, No. 47
- calculated total energy (eV per atom) = -4.274
- total magnetization (μB/cell) = 0.001

Cell and atoms, written as POSCAR:
```
TaHgPb2
1.0
3.2440 0.0000 0.0000
0.0000 5.3333 0.0000
0.0000 0.0000 5.6312
Ta Hg Pb
1 1 2
Direct
0.0000 0.0000 0.0000
0.5000 0.0000 0.5000
0.0000 0.5000 0.5000
0.5000 0.5000 0.0000
```


A geometry-optimized Ta3HgPb structure. Source: Alexandria via LeMat-Bulk, functional PBE-GGA.

Output
- calculated density (g/cm³) = 11.80
- space group = Pm-3m, No. 221
- calculated total energy (eV per atom) = -5.610
- total magnetization (μB/cell) = 0.000

Cell and atoms, written as POSCAR:
```
Ta3HgPb
1.0
5.1146 0.0000 0.0000
0.0000 5.1146 0.0000
0.0000 0.0000 5.1146
Ta Hg Pb
3 1 1
Direct
0.0000 0.0000 0.5000
0.0000 0.5000 0.0000
0.5000 0.0000 0.0000
0.5000 0.5000 0.5000
0.0000 0.0000 0.0000
```


A geometry-optimized TaHgPb2 structure. Source: Alexandria via LeMat-Bulk, functional PBE-GGA.

Output
- calculated density (g/cm³) = 12.07
- space group = Imm2, No. 44
- calculated total energy (eV per atom) = -4.478
- total magnetization (μB/cell) = 0.000

Cell and atoms, written as POSCAR:
```
TaHgPb2
1.0
3.0670 0.0000 0.0000
0.0000 4.9968 0.0000
0.0000 0.0000 14.2902
Ta Hg Pb
2 2 4
Direct
0.0000 0.0000 0.0000
0.5000 0.5000 0.5000
0.0000 0.5000 0.6798
0.5000 0.0000 0.1798
0.0000 0.0000 0.5006
0.0000 0.5000 0.3076
0.5000 0.0000 0.8076
0.5000 0.5000 0.0006
```


A geometry-optimized TaHgPb2 structure. Source: Alexandria via LeMat-Bulk, functional PBE-GGA.

Output
- calculated density (g/cm³) = 13.72
- space group = Amm2, No. 38
- calculated total energy (eV per atom) = -4.455
- total magnetization (μB/cell) = 0.000

Cell and atoms, written as POSCAR:
```
TaHgPb2
1.0
5.0656 0.0000 0.0000
0.0000 3.3163 0.0000
0.0000 0.0000 11.4700
Ta Hg Pb
2 2 4
Direct
0.0000 0.0000 0.0000
0.0000 0.5000 0.5000
0.5000 0.0000 0.1426
0.5000 0.5000 0.6426
0.0000 0.0000 0.7301
0.0000 0.5000 0.2301
0.5000 0.0000 0.4113
0.5000 0.5000 0.9113
```


A geometry-optimized TaHgPb2 structure. Source: Alexandria via LeMat-Bulk, functional PBE-GGA.

Output
- calculated density (g/cm³) = 13.61
- space group = C2/m, No. 12
- calculated total energy (eV per atom) = -4.376
- total magnetization (μB/cell) = 0.000

Cell and atoms, written as POSCAR:
```
TaHgPb2
1.0
11.0522 0.0000 0.0000
0.0000 3.1617 0.0000
-0.7648 0.0000 5.5600
Ta Hg Pb
2 2 4
Direct
0.0000 0.0000 0.0000
0.5000 0.5000 0.0000
0.0000 0.5000 0.5000
0.5000 0.0000 0.5000
0.2343 0.5000 0.2372
0.2657 0.0000 0.7628
0.7343 0.0000 0.2372
0.7657 0.5000 0.7628
```